a.
The following is a DFT calculation (PBE-GGA) of an optimized crystal structure of CaPuPt.

spin magnetization = 36.2 μB per cell
mass density = 10.46 g/cm³
density of states at the Fermi level = 2.178 states/eV/atom

```
18
Lattice="-2.6874 2.8650 -6.2927 -8.7536 -0.6777 -0.9426 -4.3597 7.6189 0.9584" Properties=species:S:1:pos:R:3 pbc="T T T"
Ca -3.1686 4.5834 -0.6134
Ca -12.4361 5.0138 -5.2044
Ca -8.5498 2.3502 -2.5617
Ca -6.3525 6.4983 -1.6115
Ca -10.2393 9.1625 -4.2553
Ca -5.3664 0.4358 -1.5648
Pu -2.6867 2.8643 -6.2910
Pu -9.2433 6.3349 -6.2831
Pu -6.9662 4.7737 -4.7336
Pu -9.5335 5.7778 -3.1800
Pu -2.9770 2.3069 -3.1880
Pu -13.5227 8.2446 -4.7257
Pt -7.4827 7.7031 -4.2573
Pt -9.6796 3.5548 -5.2077
Pt -2.4197 1.4055 -0.5417
Pt -12.0550 6.9871 -2.6303
Pt -5.4984 3.5164 -2.6382
Pt -8.9763 4.8762 -0.5337
```

=====

b.
The following is a DFT calculation (PBE-GGA) of an optimized crystal structure of CaPuPt.

spin magnetization = 11.9 μB per cell
mass density = 9.52 g/cm³
density of states at the Fermi level = 3.107 states/eV/atom

```
6
Lattice="-0.5793 1.4656 -4.6027 3.4058 -3.1633 -1.4360 -4.9743 -4.9276 -0.9430" Properties=species:S:1:pos:R:3 pbc="T T T"
Ca -1.0739 -3.3127 -3.4908
Ca -2.4871 -2.4638 -0.4715
Pu 1.4132 -0.8488 -3.0193
Pu 0.0000 0.0000 0.0000
Pt -4.0881 -3.0300 -3.0214
Pt 0.5271 -2.7464 -0.9409
```

=====

c.
The following is a DFT calculation (PBE-GGA) of an optimized crystal structure of CaPuPt.

spin magnetization = 6.0 μB per cell
mass density = 9.51 g/cm³
density of states at the Fermi level = 4.196 states/eV/atom

```
3
Lattice="-1.4907 3.0836 3.5184 2.1957 -0.0401 4.3917 2.8623 3.7549 1.3481" Properties=species:S:1:pos:R:3 pbc="T T T"
Ca 1.7836 3.3992 4.6291
Pt 0.8918 1.6996 2.3145
Pu 0.0000 0.0000 0.0000
```

=====

d.
The following is a DFT calculation (PBE-GGA) of an optimized crystal structure of CaPuPt.

spin magnetization = 5.8 μB per cell
mass density = 12.27 g/cm³
density of states at the Fermi level = 2.491 states/eV/atom

```
3
Lattice="-0.4818 -1.4353 -2.5281 4.0375 -2.8899 0.8713 -4.5334 -1.4315 1.6766" Properties=species:S:1:pos:R:3 pbc="T T T"
Ca 0.9399 -3.1206 -0.1230
Pt -0.4814 -1.4343 -2.5264
Pu -1.9179 -2.6370 0.1411
```

=====

Tell me which of them is the least stable. Sure, it is d.

=====

a.
The following is a DFT calculation (PBE-GGA) of an optimized crystal structure of CaPu2Pt2.

spin magnetization = 2.0 μB per cell
mass density = 14.33 g/cm³
density of states at the Fermi level = 1.747 states/eV/atom

```
10
Lattice="7.2289 0.0000 0.0000 0.0000 6.2865 -1.8424 -3.6145 -3.4011 5.6793" Properties=species:S:1:pos:R:3 pbc="T T T"
Ca 3.1215 4.7149 -1.3818
Ca 4.1075 1.5716 -0.4606
Pu 0.3729 0.9646 0.5477
Pu 3.9873 -1.2225 4.2104
Pu 3.2416 1.9208 3.2892
Pu -0.3729 4.1079 -0.3735
Pt 5.1402 0.0651 1.9686
Pt 2.0887 3.2084 1.0474
Pt -1.5257 2.8203 1.8683
Pt 1.5258 -0.3229 2.7895
```

=====

b.
The following is a DFT calculation (PBE-GGA) of an optimized crystal structure of CaPu2Pt2.

spin magnetization = 22.9 μB per cell
mass density = 12.56 g/cm³
density of states at the Fermi level = 3.915 states/eV/atom

```
10
Lattice="3.8359 0.0000 0.0000 0.0000 7.9556 0.0000 0.0000 0.0000 7.9556" Properties=species:S:1:pos:R:3 pbc="T T T"
Ca 1.9180 3.9778 0.0000
Ca 1.9180 0.0000 3.9778
Pu 0.0000 5.1599 2.7957
Pu 0.0000 6.7735 6.7735
Pu 0.0000 1.1821 1.1821
Pu 0.0000 2.7957 5.1599
Pt 1.9180 2.7895 2.7895
Pt 1.9180 6.7673 1.1883
Pt 1.9180 1.1883 6.7673
Pt 1.9180 5.1661 5.1661
```

=====

Tell me which of them is the least stable. Sure, it is a.

=====

a.
The following is a DFT calculation (PBE-GGA) of an optimized crystal structure of RbCa2Pt.

spin magnetization = 0.0 μB per cell
mass density = 2.54 g/cm³
density of states at the Fermi level = 0.973 states/eV/atom

```
8
Lattice="-2.2111 -4.0196 7.4153 0.2208 -7.6908 -4.1032 5.0067 -6.4622 3.1167" Properties=species:S:1:pos:R:3 pbc="T T T"
Ca -0.6390 -6.0643 6.6996
Ca -0.5615 -9.9693 4.7581
Ca 2.9551 -7.3724 4.5749
Ca 1.8463 -9.2681 8.3435
Rb -0.9952 -5.8552 1.6561
Rb 2.1162 -10.0041 0.3348
Pt 0.0000 0.0000 0.0000
Pt 0.9002 -8.1685 6.0940
```

=====

b.
The following is a DFT calculation (PBE-GGA) of an optimized crystal structure of RbCa2Pt.

spin magnetization = 0.0 μB per cell
mass density = 5.17 g/cm³
density of states at the Fermi level = 0.671 states/eV/atom

```
4
Lattice="0.0000 3.8694 3.8694 3.8694 0.0000 3.8694 3.8694 3.8694 0.0000" Properties=species:S:1:pos:R:3 pbc="T T T"
Ca 1.9347 1.9347 1.9347
Ca 5.8041 5.8041 5.8041
Rb 0.0000 0.0000 0.0000
Pt 3.8694 3.8694 3.8694
```

=====

c.
The following is a DFT calculation (PBE-GGA) of an optimized crystal structure of RbCa2Pt.

spin magnetization = 0.0 μB per cell
mass density = 3.33 g/cm³
density of states at the Fermi level = 0.824 states/eV/atom

```
4
Lattice="-2.3612 -2.1938 2.8424 0.7937 -4.1663 0.6922 6.7405 0.6171 9.3243" Properties=species:S:1:pos:R:3 pbc="T T T"
Ca 4.0352 -0.4024 6.2901
Ca 1.1377 -5.3407 6.5687
Rb 0.0000 0.0000 0.0000
Pt 2.5865 -2.8715 6.4294
```

=====

Tell me which of them is the least stable. Sure, it is b.

=====

a.
The following is a DFT calculation (PBE-GGA) of an optimized crystal structure of Ca2RePt.

spin magnetization = 1.5 μB per cell
mass density = 9.23 g/cm³
density of states at the Fermi level = 1.012 states/eV/atom

```
4
Lattice="-1.2656 3.6778 2.0936 1.5474 -1.6317 3.8018 3.7924 1.7550 -0.7903" Properties=species:S:1:pos:R:3 pbc="T T T"
Re 2.6699 0.0616 1.5058
Ca 0.0000 0.0000 0.0000
Ca 0.1409 1.0230 2.9477
Pt 1.2634 2.7164 0.6516
```

=====

b.
The following is a DFT calculation (PBE-GGA) of an optimized crystal structure of Ca2RePt.

spin magnetization = 0.0 μB per cell
mass density = 9.45 g/cm³
density of states at the Fermi level = 0.782 states/eV/atom

```
4
Lattice="-4.3678 -3.1925 0.1979 4.1799 -3.1337 1.4202 -0.3988 0.7164 2.7546" Properties=species:S:1:pos:R:3 pbc="T T T"
Re 1.8905 -1.2086 2.0874
Ca 0.0000 0.0000 0.0000
Ca -0.0939 -3.1631 0.8091
Pt -2.3833 -1.2380 1.4763
```

=====

c.
The following is a DFT calculation (PBE-GGA) of an optimized crystal structure of Ca2RePt.

spin magnetization = 0.0 μB per cell
mass density = 9.12 g/cm³
density of states at the Fermi level = 0.587 states/eV/atom

```
4
Lattice="5.8618 0.0062 -0.0029 5.1430 2.8126 -0.0029 1.8540 0.4749 5.1034" Properties=species:S:1:pos:R:3 pbc="T T T"
Re 2.7386 0.7015 1.0824
Ca 10.8778 2.7862 0.3302
Ca 9.8191 2.5151 3.4218
Pt 6.8576 1.7565 2.8059
```

=====

Tell me which of them is the least stable. Sure, it is a.

=====

a.
The following is a DFT calculation (PBE-GGA) of an optimized crystal structure of Ca2RePt.

spin magnetization = 0.6 μB per cell
mass density = 9.50 g/cm³
density of states at the Fermi level = 1.088 states/eV/atom

```
4
Lattice="3.0139 0.0230 0.0000 -0.0378 3.0137 0.0000 0.0000 0.0000 8.8806" Properties=species:S:1:pos:R:3 pbc="T T T"
Re 1.4880 1.5183 6.6605
Ca 0.0000 0.0000 0.1365
Ca 0.0000 0.0000 4.3038
Pt 1.4880 1.5183 2.2202
```

=====

b.
The following is a DFT calculation (PBE-GGA) of an optimized crystal structure of Ca2RePt.

spin magnetization = 2.5 μB per cell
mass density = 8.88 g/cm³
density of states at the Fermi level = 2.203 states/eV/atom

```
4
Lattice="3.6787 -2.9885 1.4595 -1.0353 -4.4691 1.8841 1.0507 -4.0908 -2.5992" Properties=species:S:1:pos:R:3 pbc="T T T"
Re 0.0000 0.0000 0.0000
Ca 0.9235 -2.8871 0.1861
Ca 2.7706 -8.6613 0.5583
Pt 1.8470 -5.7742 0.3722
```

=====

Tell me which of them is the least stable. Sure, it is b.